[1]
! Ti3Nb5P12, optimized geometry, DFT PBE-GGA; values from VASP
&SYSTEM
  ibrav = 0, nat = 80, ntyp = 3
/
ATOMIC_SPECIES
Nb 92.91 Nb.upf
P 30.97 P.upf
Ti 47.87 Ti.upf
CELL_PARAMETERS angstrom
-0.0561 -2.6123 12.2200
-8.0110 -7.5526 -5.9109
11.4998 -1.7249 -4.5755
ATOMIC_POSITIONS angstrom
Nb -4.0055 -3.7763 -2.9554
Nb 5.1355 -5.2520 6.3551
Nb 0.0000 0.0000 0.0000
Nb 9.0189 -4.4126 4.4226
Nb 1.7444 -4.6387 -5.2432
Nb -4.0336 -5.0824 3.1546
Nb 3.5689 -8.2998 3.5666
Nb 4.0190 -8.8064 -0.7992
Nb -0.5863 -3.0834 2.5328
Nb -4.1697 -8.6724 1.3216
Nb -0.1362 -3.5900 -1.8330
Nb 7.6024 -3.2174 0.4120
Nb -0.0281 -1.3062 6.1100
Nb 5.7218 -2.1686 3.8222
Nb -5.5862 -7.4772 -2.6890
Nb 1.7163 -5.9449 0.8668
Nb -0.7365 -7.3264 3.7549
Nb -1.7028 -6.6378 -4.6215
Nb 5.7499 -0.8625 -2.2878
Nb 4.1692 -4.5634 -2.0213
P -0.5823 -7.0510 1.3840
P -0.3971 -3.1436 7.9162
P 3.5578 -2.2521 -2.0910
P 3.1718 -2.1954 3.3009
P 0.3172 -5.8833 -1.3272
P -2.6528 -7.0706 7.1848
P -2.8438 -6.7697 4.7397
P 0.5831 -6.9682 -5.2426
P -2.2840 -4.3173 1.3857
P 6.7529 -4.0242 7.6189
P 6.0855 -4.8192 -5.4513
P 3.8298 -8.7462 -6.1826
P -3.3202 -7.8656 -5.8853
P 8.0005 -5.5450 0.7917
P -4.5678 -6.3448 0.9418
P 5.7925 -8.3625 2.6879
P -1.4776 -7.2592 -2.3228
P 1.7649 -8.3409 -0.1491
P -5.5676 -7.2423 -5.0691
P 2.8275 -6.0425 -3.3376
P -4.3046 -9.4014 3.5956
P -4.2679 -5.8973 -1.4697
P 3.1155 -6.0065 3.0608
P -0.1251 -9.6377 3.8246
P 4.9103 -4.6306 4.0564
P 5.7167 -7.5725 0.3478
P 1.3954 -1.9937 -0.9237
P 7.7373 -2.4884 -1.8620
P 1.2268 -9.2683 -4.6094
P 2.0373 -9.8961 2.6573
P 3.7619 -8.3202 -3.1269
P -2.3598 -3.5273 -0.9543
P -2.0014 -8.7695 0.3169
P -6.6673 -9.2672 4.3067
P 1.6678 -3.5489 1.8827
P 7.7006 -5.9925 3.2033
P 0.6052 -5.8473 5.0712
P 4.0150 -4.8388 0.3496
P 5.4341 -3.1203 1.4167
P 2.8496 -4.9216 6.9762
P 0.0464 -5.5680 8.0933
P 6.2765 -5.1201 -3.0061
P 0.2608 -9.6944 -1.5673
P -0.3292 -3.5696 4.8605
P 10.0999 -2.6226 -2.5731
P 3.3863 -6.3218 -6.3597
P 2.2059 -2.6215 6.3430
P 9.0003 -4.6475 6.8027
Ti -2.1530 -6.1312 -0.2557
Ti 1.6082 -8.2287 -7.0762
Ti -1.6087 -5.0071 6.3765
Ti 8.0526 -3.7240 -3.9538
Ti 1.8245 -3.6611 8.8098
Ti 1.1581 -7.7221 -2.7104
Ti 3.2970 -2.2440 0.6003
Ti -4.6199 -8.1658 5.6874
Ti 5.5857 -5.7586 1.9893
Ti 2.2746 -4.1677 4.4440
Ti 5.0414 -6.8827 -4.6429
Ti 0.1357 -9.6458 1.1333
! - Fermi-level density of states (states/eV per cell) = 72.9
! - calculated formation energy (kJ per mole of atoms) = -16
! - spin magnetization (μB per cell) = 0.00

---

[2]
! TiNbP3, optimized geometry, DFT PBE-GGA; values from VASP
&SYSTEM
  ibrav = 0, nat = 5, ntyp = 3
/
ATOMIC_SPECIES
P 30.97 P.upf
Ti 47.87 Ti.upf
Nb 92.91 Nb.upf
CELL_PARAMETERS angstrom
-1.0689 -4.3364 1.6326
4.3782 -0.3967 1.8127
-1.5168 1.9106 4.0818
ATOMIC_POSITIONS angstrom
P -0.7584 0.9553 2.0409
P -0.5344 -2.1682 0.8163
P 2.1891 -0.1984 0.9063
Ti 0.8963 -1.4113 3.7635
Nb 0.0000 0.0000 0.0000
! - relative energy among the computed polymorphs (eV/f.u.) = 0.00
! - Fermi-level density of states (states/eV per cell) = 6.4
! - calculated formation energy (kJ per mole of atoms) = 49
! - spin magnetization (μB per cell) = 0.00

---

[3]
! TiNbP, optimized geometry, DFT PBE-GGA; values from VASP
&SYSTEM
  ibrav = 0, nat = 12, ntyp = 3
/
ATOMIC_SPECIES
P 30.97 P.upf
Ti 47.87 Ti.upf
Nb 92.91 Nb.upf
CELL_PARAMETERS angstrom
5.2676 0.0000 0.0000
0.0000 5.8979 -0.1084
0.0000 -0.0250 6.9038
ATOMIC_POSITIONS angstrom
P 0.0257 1.5186 0.8363
P 2.6081 1.5061 4.2882
P 2.6595 4.3667 2.5072
P 5.2419 4.3542 5.9591
Ti 3.8272 2.4469 6.1074
Ti 1.4404 3.4259 0.6880
Ti 1.1934 3.4134 4.1398
Ti 4.0742 2.4594 2.6555
Nb 1.1406 0.3868 2.7082
Nb 3.7744 5.4986 0.6353
Nb 1.4932 0.3743 6.1601
Nb 4.1270 5.4861 4.0872
! - Fermi-level density of states (states/eV per cell) = 10.8
! - calculated formation energy (kJ per mole of atoms) = -54
! - spin magnetization (μB per cell) = 0.06

---

[4]
! TiNbP, optimized geometry, DFT PBE-GGA; values from VASP
&SYSTEM
  ibrav = 0, nat = 9, ntyp = 3
/
ATOMIC_SPECIES
Nb 92.91 Nb.upf
P 30.97 P.upf
Ti 47.87 Ti.upf
CELL_PARAMETERS angstrom
-2.7284 0.5963 2.0636
-0.9446 -6.6335 0.6681
3.9856 3.2852 4.3202
ATOMIC_POSITIONS angstrom
Nb -1.9160 -3.5765 1.4220
Nb 0.9639 2.2171 3.5553
Nb -0.0995 -1.0943 3.1063
P -1.3642 0.2982 1.0318
P 0.6988 -3.3273 1.8855
P 2.3422 -0.0210 3.1028
Ti 2.2681 -2.4972 3.7204
Ti 0.0685 -5.7985 1.7662
Ti -0.2401 -1.6861 0.1698
! - Fermi-level density of states (states/eV per cell) = 12.5
! - calculated formation energy (kJ per mole of atoms) = -89
! - spin magnetization (μB per cell) = 0.05

---

[5]
! Ti3NbP, optimized geometry, DFT PBE-GGA; values from VASP
&SYSTEM
  ibrav = 0, nat = 5, ntyp = 3
/
ATOMIC_SPECIES
P 30.97 P.upf
Ti 47.87 Ti.upf
Nb 92.91 Nb.upf
CELL_PARAMETERS angstrom
-1.5693 3.1646 2.8242
-1.8766 -3.2186 2.5637
3.8038 -0.2823 2.4300
ATOMIC_POSITIONS angstrom
P 0.0000 0.0000 0.0000
Ti -0.9383 -1.6093 1.2819
Ti -0.7847 1.5823 1.4121
Ti 1.9019 -0.1411 1.2150
Nb 0.1789 -0.1681 3.9089
! - relative energy among the computed polymorphs (eV/f.u.) = 1.79
! - Fermi-level density of states (states/eV per cell) = 3.2
! - calculated formation energy (kJ per mole of atoms) = -8
! - spin magnetization (μB per cell) = 0.00

---

[6]
! TiNb2P, optimized geometry, DFT PBE-GGA; values from VASP
&SYSTEM
  ibrav = 0, nat = 8, ntyp = 3
/
ATOMIC_SPECIES
Ti 47.87 Ti.upf
Nb 92.91 Nb.upf
P 30.97 P.upf
CELL_PARAMETERS angstrom
7.7510 0.0000 0.0000
0.0000 7.7510 0.0000
3.8755 3.8755 2.4446
ATOMIC_POSITIONS angstrom
Ti 7.7510 3.8755 1.2223
Ti 0.0000 0.0000 0.0000
Nb 5.2309 1.9377 0.6111
Nb 5.8132 6.3956 1.8334
Nb 9.6887 9.1064 1.8334
Nb 2.5201 5.8132 0.6111
P 3.8755 3.8755 0.0000
P 3.8755 7.7510 1.2223
! - Fermi-level density of states (states/eV per cell) = 12.4
! - calculated formation energy (kJ per mole of atoms) = -10
! - spin magnetization (μB per cell) = 0.00

---

[7]
! TiNbP3, optimized geometry, DFT PBE-GGA; values from VASP
&SYSTEM
  ibrav = 0, nat = 5, ntyp = 3
/
ATOMIC_SPECIES
P 30.97 P.upf
Nb 92.91 Nb.upf
Ti 47.87 Ti.upf
CELL_PARAMETERS angstrom
4.5771 0.0000 0.0000
0.0000 4.5771 0.0000
0.0000 0.0000 4.5771
ATOMIC_POSITIONS angstrom
P 0.0000 2.2886 0.0000
P 0.0000 0.0000 2.2886
P 2.2886 0.0000 0.0000
Nb 2.2886 2.2886 2.2886
Ti 0.0000 0.0000 0.0000
! - relative energy among the computed polymorphs (eV/f.u.) = 0.20
! - Fermi-level density of states (states/eV per cell) = 7.0
! - calculated formation energy (kJ per mole of atoms) = 53
! - spin magnetization (μB per cell) = 0.00

---

[8]
! Ti2NbP, optimized geometry, DFT PBE-GGA; values from VASP
&SYSTEM
  ibrav = 0, nat = 32, ntyp = 3
/
ATOMIC_SPECIES
Ti 47.87 Ti.upf
P 30.97 P.upf
Nb 92.91 Nb.upf
CELL_PARAMETERS angstrom
-0.3235 -3.9826 3.1063
-4.0353 -3.8215 -5.3199
10.9749 -4.7328 -4.9250
ATOMIC_POSITIONS angstrom
Ti 6.0816 -9.7016 -3.7015
Ti 8.6977 -7.3217 -6.3966
Ti 1.7523 -9.1685 -5.3646
Ti 3.2121 -4.9327 -3.9516
Ti 7.5303 -5.4844 -2.2668
Ti 4.8638 -3.3685 -1.7741
Ti 0.7448 -5.4815 -2.6849
Ti 4.4227 -11.2727 -5.8886
Ti 3.4040 -7.6042 -3.1870
Ti 5.8713 -7.0555 -4.4538
Ti -0.9142 -7.0526 -4.8719
Ti 2.1934 -1.2643 -1.2501
Ti -2.0816 -5.2153 -0.7421
Ti -3.7334 -6.7795 -2.9197
Ti 0.5345 -2.8353 -3.4371
Ti 10.3495 -5.7575 -4.2190
P 7.9243 -5.6816 -4.7110
P 7.1932 -7.4005 -8.4847
P -1.3082 -6.8554 -2.4276
P 5.0522 -5.7574 -2.4779
P 4.2038 -8.9191 -5.1263
P -0.5771 -5.1365 1.3460
P 1.5639 -6.7796 -4.6608
P 2.4123 -3.6179 -2.0124
Nb 8.4966 -8.0139 -3.4697
Nb -1.8805 -4.5231 -3.6690
Nb 5.9623 -4.0263 -4.4118
Nb 3.6277 -6.6340 -6.3308
Nb 2.9884 -5.9030 -0.8079
Nb 0.3232 -3.5262 -0.4936
Nb 0.6538 -8.5107 -2.7269
Nb 6.2929 -9.0108 -6.6450
! - Fermi-level density of states (states/eV per cell) = 17.8
! - calculated formation energy (kJ per mole of atoms) = -78
! - spin magnetization (μB per cell) = 0.00